PmMg2Tl, relaxed, DFT GGA-PBE; ΔE to the lowest computed polymorph = 48 meV per atom; energy relative to the elements = -71 kJ/mol of formula units
1.0
4.5678 -2.6268 0.0000
4.5678 2.6268 0.0000
-3.0117 0.0000 4.3076
Pm Mg Tl
1 2 1
Cartesian
0.0000 0.0000 0.0000 Pm
3.0591 0.0000 2.1531 Mg
6.0977 0.0000 1.0819 Mg
0.0278 0.0000 3.2251 Tl